## 1
The following is a PBE-GGA calculation of Mg2TiI after structural relaxation, from Alexandria via LeMat-Bulk.

V ... 424.68 Å³ per cell

a b c (Å): 8.365 8.365 6.069
angles (deg): 90.00 90.00 90.00
Space group I-42d (No. 122)
Inequivalent atoms, fractional coordinates:
Mg  0.250  0.250  0.375 x8
Ti  0.000  0.000  0.000 x4
I  0.000  0.000  0.500 x4

=====

## 2
The following is a PBE-GGA calculation of Mg2TiI after structural relaxation, from Alexandria via LeMat-Bulk.

V ... 412.68 Å³ per cell

a b c (Å): 7.445 7.445 7.445
angles (deg): 90.00 90.00 90.00
Space group Fm-3m (No. 225)
Inequivalent atoms, fractional coordinates:
Mg  0.250  0.250  0.250 x8
Ti  0.000  0.000  0.000 x4
I  0.000  0.000  0.500 x4

=====

Stability comparison, relative energies in eV/atom: 1 0.000; 2 0.205

=====

## 1
The following is a PBE-GGA calculation of ZrPbBr2 after structural relaxation, from Alexandria via LeMat-Bulk.

V ... 207.68 Å³ per cell

a b c (Å): 4.388 4.388 10.787
angles (deg): 90.00 90.00 90.00
Space group I-4m2 (No. 119)
Inequivalent atoms, fractional coordinates:
Zr  0.000  0.000  0.000 x2
Pb  0.000  0.500  0.250 x2
Br  0.000  0.000  0.500 x2
Br  0.000  0.500  0.750 x2

=====

## 2
The following is a PBE-GGA calculation of ZrPbBr2 after structural relaxation, from Alexandria via LeMat-Bulk.

V ... 102.76 Å³ per cell

a b c (Å): 3.426 5.002 5.997
angles (deg): 90.00 90.00 90.00
Space group Pmmm (No. 47)
Inequivalent atoms, fractional coordinates:
Zr  0.000  0.000  0.000 x1
Pb  0.500  0.000  0.500 x1
Br  0.000  0.500  0.500 x1
Br  0.500  0.500  0.000 x1

=====

Stability comparison, relative energies in eV/atom: 1 0.236; 2 0.000

=====

## 1
The following is a PBE-GGA calculation of BaIn2Mo after structural relaxation, from Alexandria via LeMat-Bulk.

V ... 216.56 Å³ per cell

a b c (Å): 9.671 3.169 7.122
angles (deg): 90.00 97.17 90.00
Space group C2/m (No. 12)
Inequivalent atoms, fractional coordinates:
Ba  0.000  0.000  0.000 x2
In  0.235  0.000  0.680 x4
Mo  0.000  0.500  0.500 x2

=====

## 2
The following is a PBE-GGA calculation of BaIn2Mo after structural relaxation, from Alexandria via LeMat-Bulk.

V ... 106.09 Å³ per cell

a b c (Å): 3.613 3.613 8.125
angles (deg): 90.00 90.00 90.00
Space group P4/mmm (No. 123)
Inequivalent atoms, fractional coordinates:
Ba  0.000  0.000  0.000 x1
In  0.500  0.500  0.317 x2
Mo  0.000  0.000  0.500 x1

=====

Stability comparison, relative energies in eV/atom: 1 0.150; 2 0.000